No. 1
# CuTcBr2, optimized geometry, DFT GGA-PBE
data_CuTcBr2
_cell_length_a 3.185
_cell_length_b 5.999
_cell_length_c 8.128
_cell_angle_alpha 90.00
_cell_angle_beta 90.00
_cell_angle_gamma 90.00
_symmetry_space_group_name_H-M 'C m m m'
_symmetry_Int_Tables_number 65
_symmetry_space_group_name_Hall '-C 2 2'
loop_
_atom_site_label
_atom_site_type_symbol
_atom_site_fract_x
_atom_site_fract_y
_atom_site_fract_z
Cu1 Cu 0.000 0.000 0.000
Tc1 Tc 0.000 0.000 0.500
Br1 Br 0.000 0.500 0.250
# - Excess energy over the best structure of this formula in the dataset: 412 meV/atom
# - Crystal system: orthorhombic


No. 2
# CuTc3Br, optimized geometry, DFT GGA-PBE
data_CuTc3Br
_cell_length_a 4.628
_cell_length_b 4.628
_cell_length_c 4.628
_cell_angle_alpha 90.00
_cell_angle_beta 90.00
_cell_angle_gamma 90.00
_symmetry_space_group_name_H-M 'P m -3 m'
_symmetry_Int_Tables_number 221
_symmetry_space_group_name_Hall '-P 4 2 3'
loop_
_atom_site_label
_atom_site_type_symbol
_atom_site_fract_x
_atom_site_fract_y
_atom_site_fract_z
Cu1 Cu 0.000 0.000 0.000
Tc1 Tc 0.000 0.000 0.500
Br1 Br 0.500 0.500 0.500
# - Excess energy over the best structure of this formula in the dataset: 222 meV/atom
# - Crystal system: cubic


No. 3
# CuTcBr, optimized geometry, DFT GGA-PBE
data_CuTcBr
_cell_length_a 4.4202
_cell_length_b 4.4202
_cell_length_c 2.8540
_cell_angle_alpha 90.00
_cell_angle_beta 90.00
_cell_angle_gamma 120.00
_symmetry_space_group_name_H-M 'P -6 m 2'
_symmetry_Int_Tables_number 187
_symmetry_space_group_name_Hall 'P -6 2'
loop_
_atom_site_label
_atom_site_type_symbol
_atom_site_fract_x
_atom_site_fract_y
_atom_site_fract_z
Cu1 Cu 0.0000 0.0000 0.0000
Tc1 Tc 0.3333 0.6667 0.5000
Br1 Br 0.6667 0.3333 0.5000
# - Excess energy over the best structure of this formula in the dataset: 311 meV/atom
# - Crystal system: hexagonal


No. 4
# CuTcBr, optimized geometry, DFT GGA-PBE
data_CuTcBr
_cell_length_a 3.015
_cell_length_b 3.015
_cell_length_c 12.006
_cell_angle_alpha 90.00
_cell_angle_beta 90.00
_cell_angle_gamma 90.00
_symmetry_space_group_name_H-M 'I 4 m m'
_symmetry_Int_Tables_number 107
_symmetry_space_group_name_Hall 'I 4 -2'
loop_
_atom_site_label
_atom_site_type_symbol
_atom_site_fract_x
_atom_site_fract_y
_atom_site_fract_z
Cu1 Cu 0.000 0.000 0.000
Tc1 Tc 0.000 0.000 0.631
Br1 Br 0.000 0.000 0.258
# - Excess energy over the best structure of this formula in the dataset: 87 meV/atom
# - Crystal system: tetragonal


No. 5
# CuTcBr, optimized geometry, DFT GGA-PBE
data_CuTcBr
_cell_length_a 6.010
_cell_length_b 6.010
_cell_length_c 6.010
_cell_angle_alpha 90.00
_cell_angle_beta 90.00
_cell_angle_gamma 90.00
_symmetry_space_group_name_H-M 'F -4 3 m'
_symmetry_Int_Tables_number 216
_symmetry_space_group_name_Hall 'F -4 2 3'
loop_
_atom_site_label
_atom_site_type_symbol
_atom_site_fract_x
_atom_site_fract_y
_atom_site_fract_z
Cu1 Cu 0.000 0.000 0.000
Tc1 Tc 0.250 0.250 0.750
Br1 Br 0.000 0.000 0.500
# - Excess energy over the best structure of this formula in the dataset: 372 meV/atom
# - Crystal system: cubic


No. 6
# CuTcBr2, optimized geometry, DFT GGA-PBE
data_CuTcBr2
_cell_length_a 3.2927
_cell_length_b 3.2927
_cell_length_c 23.5807
_cell_angle_alpha 90.00
_cell_angle_beta 90.00
_cell_angle_gamma 120.00
_symmetry_space_group_name_H-M 'R -3 m'
_symmetry_Int_Tables_number 166
_symmetry_space_group_name_Hall '-R 3 2"'
loop_
_atom_site_label
_atom_site_type_symbol
_atom_site_fract_x
_atom_site_fract_y
_atom_site_fract_z
Cu1 Cu 0.0000 0.0000 0.0000
Tc1 Tc 0.0000 0.0000 0.5000
Br1 Br 0.0000 0.0000 0.2453
# - Excess energy over the best structure of this formula in the dataset: 331 meV/atom
# - Crystal system: trigonal


No. 7
# Cu3TcBr, optimized geometry, DFT GGA-PBE
data_Cu3TcBr
_cell_length_a 4.763
_cell_length_b 4.763
_cell_length_c 4.763
_cell_angle_alpha 90.00
_cell_angle_beta 90.00
_cell_angle_gamma 90.00
_symmetry_space_group_name_H-M 'P m -3 m'
_symmetry_Int_Tables_number 221
_symmetry_space_group_name_Hall '-P 4 2 3'
loop_
_atom_site_label
_atom_site_type_symbol
_atom_site_fract_x
_atom_site_fract_y
_atom_site_fract_z
Cu1 Cu 0.000 0.000 0.500
Tc1 Tc 0.000 0.000 0.000
Br1 Br 0.500 0.500 0.500
# - Excess energy over the best structure of this formula in the dataset: 0 meV/atom
# - Crystal system: cubic


No. 8
# Cu2TcBr2, optimized geometry, DFT GGA-PBE
data_Cu2TcBr2
_cell_length_a 7.017
_cell_length_b 7.017
_cell_length_c 3.732
_cell_angle_alpha 90.00
_cell_angle_beta 90.00
_cell_angle_gamma 90.00
_symmetry_space_group_name_H-M 'P 4/m b m'
_symmetry_Int_Tables_number 127
_symmetry_space_group_name_Hall '-P 4 2ab'
loop_
_atom_site_label
_atom_site_type_symbol
_atom_site_fract_x
_atom_site_fract_y
_atom_site_fract_z
Cu1 Cu 0.132 0.368 0.000
Tc1 Tc 0.000 0.000 0.000
Br1 Br 0.180 0.680 0.500
# - Excess energy over the best structure of this formula in the dataset: 0 meV/atom
# - Crystal system: tetragonal


No. 9
# CuTcBr2, optimized geometry, DFT GGA-PBE
data_CuTcBr2
_cell_length_a 6.509
_cell_length_b 6.509
_cell_length_c 6.509
_cell_angle_alpha 90.00
_cell_angle_beta 90.00
_cell_angle_gamma 90.00
_symmetry_space_group_name_H-M 'F m -3 m'
_symmetry_Int_Tables_number 225
_symmetry_space_group_name_Hall '-F 4 2 3'
loop_
_atom_site_label
_atom_site_type_symbol
_atom_site_fract_x
_atom_site_fract_y
_atom_site_fract_z
Cu1 Cu 0.000 0.000 0.000
Tc1 Tc 0.000 0.000 0.500
Br1 Br 0.250 0.250 0.250
# - Excess energy over the best structure of this formula in the dataset: 524 meV/atom
# - Crystal system: cubic


No. 10
# CuTcBr2, optimized geometry, DFT GGA-PBE
data_CuTcBr2
_cell_length_a 4.070
_cell_length_b 5.449
_cell_length_c 8.131
_cell_angle_alpha 90.00
_cell_angle_beta 90.00
_cell_angle_gamma 90.00
_symmetry_space_group_name_H-M 'C m m 2'
_symmetry_Int_Tables_number 35
_symmetry_space_group_name_Hall 'C 2 -2'
loop_
_atom_site_label
_atom_site_type_symbol
_atom_site_fract_x
_atom_site_fract_y
_atom_site_fract_z
Cu1 Cu 0.000 0.000 0.000
Tc1 Tc 0.000 0.500 0.821
Br1 Br 0.000 0.000 0.607
Br2 Br 0.000 0.500 0.164
# - Excess energy over the best structure of this formula in the dataset: 142 meV/atom
# - Crystal system: orthorhombic


No. 11
# CuTcBr2, optimized geometry, DFT GGA-PBE
data_CuTcBr2
_cell_length_a 5.916
_cell_length_b 5.916
_cell_length_c 10.436
_cell_angle_alpha 90.00
_cell_angle_beta 90.00
_cell_angle_gamma 90.00
_symmetry_space_group_name_H-M 'I -4 2 d'
_symmetry_Int_Tables_number 122
_symmetry_space_group_name_Hall 'I -4 2bw'
loop_
_atom_site_label
_atom_site_type_symbol
_atom_site_fract_x
_atom_site_fract_y
_atom_site_fract_z
Cu1 Cu 0.000 0.000 0.000
Tc1 Tc 0.000 0.000 0.500
Br1 Br 0.245 0.250 0.125
# - Excess energy over the best structure of this formula in the dataset: 407 meV/atom
# - Crystal system: tetragonal


No. 12
# CuTcBr2, optimized geometry, DFT GGA-PBE
data_CuTcBr2
_cell_length_a 4.534
_cell_length_b 3.485
_cell_length_c 6.317
_cell_angle_alpha 90.00
_cell_angle_beta 90.01
_cell_angle_gamma 90.00
_symmetry_space_group_name_H-M 'P 1 m 1'
_symmetry_Int_Tables_number 6
_symmetry_space_group_name_Hall 'P -2y'
loop_
_atom_site_label
_atom_site_type_symbol
_atom_site_fract_x
_atom_site_fract_y
_atom_site_fract_z
Cu1 Cu 0.000 0.000 0.000
Tc1 Tc 0.002 0.500 0.304
Br1 Br 0.000 0.500 0.733
Br2 Br 0.501 0.000 0.302
# - Excess energy over the best structure of this formula in the dataset: 187 meV/atom
# - Crystal system: monoclinic


No. 13
# CuTcBr2, optimized geometry, DFT GGA-PBE
data_CuTcBr2
_cell_length_a 7.521
_cell_length_b 3.342
_cell_length_c 8.156
_cell_angle_alpha 90.00
_cell_angle_beta 99.74
_cell_angle_gamma 90.00
_symmetry_space_group_name_H-M 'C 1 m 1'
_symmetry_Int_Tables_number 8
_symmetry_space_group_name_Hall 'C -2y'
loop_
_atom_site_label
_atom_site_type_symbol
_atom_site_fract_x
_atom_site_fract_y
_atom_site_fract_z
Cu1 Cu 0.000 0.000 0.000
Tc1 Tc 0.263 0.000 0.848
Br1 Br 0.183 0.500 0.622
Br2 Br 0.320 0.000 0.171
# - Excess energy over the best structure of this formula in the dataset: 0 meV/atom
# - Crystal system: monoclinic


No. 14
# Cu2TcBr2, optimized geometry, DFT GGA-PBE
data_Cu2TcBr2
_cell_length_a 5.098
_cell_length_b 5.098
_cell_length_c 7.719
_cell_angle_alpha 90.00
_cell_angle_beta 90.00
_cell_angle_gamma 90.00
_symmetry_space_group_name_H-M 'I 4/m m m'
_symmetry_Int_Tables_number 139
_symmetry_space_group_name_Hall '-I 4 2'
loop_
_atom_site_label
_atom_site_type_symbol
_atom_site_fract_x
_atom_site_fract_y
_atom_site_fract_z
Cu1 Cu 0.000 0.000 0.156
Tc1 Tc 0.000 0.000 0.500
Br1 Br 0.000 0.500 0.250
# - Excess energy over the best structure of this formula in the dataset: 92 meV/atom
# - Crystal system: tetragonal


No. 15
# CuTcBr2, optimized geometry, DFT GGA-PBE
data_CuTcBr2
_cell_length_a 3.417
_cell_length_b 4.061
_cell_length_c 6.354
_cell_angle_alpha 90.00
_cell_angle_beta 90.00
_cell_angle_gamma 90.00
_symmetry_space_group_name_H-M 'P m m m'
_symmetry_Int_Tables_number 47
_symmetry_space_group_name_Hall '-P 2 2'
loop_
_atom_site_label
_atom_site_type_symbol
_atom_site_fract_x
_atom_site_fract_y
_atom_site_fract_z
Cu1 Cu 0.000 0.000 0.000
Tc1 Tc 0.500 0.000 0.500
Br1 Br 0.000 0.500 0.500
Br2 Br 0.500 0.500 0.000
# - Excess energy over the best structure of this formula in the dataset: 453 meV/atom
# - Crystal system: orthorhombic


No. 16
# CuTcBr2, optimized geometry, DFT GGA-PBE
data_CuTcBr2
_cell_length_a 3.743
_cell_length_b 3.743
_cell_length_c 12.727
_cell_angle_alpha 90.00
_cell_angle_beta 90.00
_cell_angle_gamma 90.00
_symmetry_space_group_name_H-M 'I -4 m 2'
_symmetry_Int_Tables_number 119
_symmetry_space_group_name_Hall 'I -4 -2'
loop_
_atom_site_label
_atom_site_type_symbol
_atom_site_fract_x
_atom_site_fract_y
_atom_site_fract_z
Cu1 Cu 0.000 0.000 0.000
Tc1 Tc 0.000 0.500 0.750
Br1 Br 0.000 0.000 0.500
Br2 Br 0.000 0.500 0.250
# - Excess energy over the best structure of this formula in the dataset: 459 meV/atom
# - Crystal system: tetragonal


No. 17
# Cu2TcBr5, optimized geometry, DFT GGA-PBE
data_Cu2TcBr5
_cell_length_a 6.574
_cell_length_b 6.693
_cell_length_c 6.734
_cell_angle_alpha 79.02
_cell_angle_beta 63.70
_cell_angle_gamma 64.15
_symmetry_space_group_name_H-M 'P 1'
_symmetry_Int_Tables_number 1
_symmetry_space_group_name_Hall 'P 1'
loop_
_atom_site_label
_atom_site_type_symbol
_atom_site_fract_x
_atom_site_fract_y
_atom_site_fract_z
Cu1 Cu 0.000 0.000 0.000
Cu2 Cu 0.010 0.688 0.303
Tc1 Tc 0.197 0.996 0.299
Br1 Br 0.068 0.817 0.680
Br2 Br 0.268 0.178 0.923
Br3 Br 0.442 0.608 0.126
Br4 Br 0.633 0.996 0.311
Br5 Br 0.911 0.371 0.487
# - Crystal system: triclinic


No. 18
# Cu2TcBr8, optimized geometry, DFT GGA-PBE
data_Cu2TcBr8
_cell_length_a 13.149
_cell_length_b 8.869
_cell_length_c 6.192
_cell_angle_alpha 90.00
_cell_angle_beta 100.89
_cell_angle_gamma 90.00
_symmetry_space_group_name_H-M 'C 1 2/m 1'
_symmetry_Int_Tables_number 12
_symmetry_space_group_name_Hall '-C 2y'
loop_
_atom_site_label
_atom_site_type_symbol
_atom_site_fract_x
_atom_site_fract_y
_atom_site_fract_z
Cu1 Cu 0.183 0.000 0.175
Tc1 Tc 0.000 0.000 0.500
Br1 Br 0.075 0.201 0.286
Br2 Br 0.142 0.500 0.692
Br3 Br 0.170 0.000 0.777
# - Crystal system: monoclinic


No. 19
# CuTcBr2, optimized geometry, DFT GGA-PBE
data_CuTcBr2
_cell_length_a 3.447
_cell_length_b 3.447
_cell_length_c 6.690
_cell_angle_alpha 90.00
_cell_angle_beta 90.00
_cell_angle_gamma 90.00
_symmetry_space_group_name_H-M 'P 4/m m m'
_symmetry_Int_Tables_number 123
_symmetry_space_group_name_Hall '-P 4 2'
loop_
_atom_site_label
_atom_site_type_symbol
_atom_site_fract_x
_atom_site_fract_y
_atom_site_fract_z
Cu1 Cu 0.000 0.000 0.000
Tc1 Tc 0.000 0.000 0.500
Br1 Br 0.500 0.500 0.248
# - Excess energy over the best structure of this formula in the dataset: 476 meV/atom
# - Crystal system: tetragonal


No. 20
# Cu3TcBr, optimized geometry, DFT GGA-PBE
data_Cu3TcBr
_cell_length_a 4.577
_cell_length_b 4.577
_cell_length_c 4.577
_cell_angle_alpha 90.00
_cell_angle_beta 90.00
_cell_angle_gamma 90.00
_symmetry_space_group_name_H-M 'P m -3 m'
_symmetry_Int_Tables_number 221
_symmetry_space_group_name_Hall '-P 4 2 3'
loop_
_atom_site_label
_atom_site_type_symbol
_atom_site_fract_x
_atom_site_fract_y
_atom_site_fract_z
Cu1 Cu 0.000 0.000 0.500
Tc1 Tc 0.500 0.500 0.500
Br1 Br 0.000 0.000 0.000
# - Excess energy over the best structure of this formula in the dataset: 143 meV/atom
# - Crystal system: cubic


Record order is preserved below.
Formation energy without anion corrections: 0.67; 1.97; 0.91; 0.69; 0.97; 0.59; 1.36; 0.77; 0.78; 0.40; 0.66; 0.44; 0.25; 0.86; 0.71; 0.71; -0.23; -0.25; 0.73; 1.50 eV/atom